1.
# F (PBEsol, optimized geometry)
# - Formation energy (no corrections): 0.473 eV per atom
# - SG: R-3m (166)
# - Energy above the most stable polymorph in this dataset: 473.5 meV/atom
# - Total DFT energy (no corrections): -1.454 eV/atom
data_F
_symmetry_space_group_name_H-M 'P 1'
_symmetry_Int_Tables_number 1
_cell_length_a 3.339
_cell_length_b 3.339
_cell_length_c 3.344
_cell_angle_alpha 60.04
_cell_angle_beta 60.04
_cell_angle_gamma 60.00
loop_
_symmetry_equiv_pos_as_xyz
'x,y,z'
loop_
_atom_site_label
_atom_site_type_symbol
_atom_site_fract_x
_atom_site_fract_y
_atom_site_fract_z
F1 F 0.197 0.197 0.408
F2 F 0.803 0.803 0.592

---

2.
# F (PBEsol, optimized geometry)
# - Formation energy (no corrections): 0.734 eV per atom
# - SG: Pm-3n (223)
# - Energy above the most stable polymorph in this dataset: 733.8 meV/atom
# - Total DFT energy (no corrections): -1.194 eV/atom
data_F
_symmetry_space_group_name_H-M 'P 1'
_symmetry_Int_Tables_number 1
_cell_length_a 4.285
_cell_length_b 4.285
_cell_length_c 4.285
_cell_angle_alpha 90.00
_cell_angle_beta 90.00
_cell_angle_gamma 90.00
loop_
_symmetry_equiv_pos_as_xyz
'x,y,z'
loop_
_atom_site_label
_atom_site_type_symbol
_atom_site_fract_x
_atom_site_fract_y
_atom_site_fract_z
F1 F 0.000 0.000 0.000
F2 F 0.500 0.500 0.500
F3 F 0.250 0.500 0.000
F4 F 0.750 0.500 0.000
F5 F 0.500 0.000 0.250
F6 F 0.500 0.000 0.750
F7 F 0.000 0.750 0.500
F8 F 0.000 0.250 0.500

---

3.
# F (PBEsol, optimized geometry)
# - Formation energy (no corrections): 0.675 eV per atom
# - SG: Im-3m (229)
# - Energy above the most stable polymorph in this dataset: 674.9 meV/atom
# - Total DFT energy (no corrections): -1.253 eV/atom
data_F
_symmetry_space_group_name_H-M 'P 1'
_symmetry_Int_Tables_number 1
_cell_length_a 2.311
_cell_length_b 2.311
_cell_length_c 2.311
_cell_angle_alpha 109.47
_cell_angle_beta 109.47
_cell_angle_gamma 109.47
loop_
_symmetry_equiv_pos_as_xyz
'x,y,z'
loop_
_atom_site_label
_atom_site_type_symbol
_atom_site_fract_x
_atom_site_fract_y
_atom_site_fract_z
F1 F 0.000 0.000 0.000

---

4.
# F (PBEsol, optimized geometry)
# - Formation energy (no corrections): 0.000 eV per atom
# - SG: Cmce (64)
# - Energy above the most stable polymorph in this dataset: 0.0 meV/atom
# - Total DFT energy (no corrections): -1.927 eV/atom
data_F
_symmetry_space_group_name_H-M 'P 1'
_symmetry_Int_Tables_number 1
_cell_length_a 3.126
_cell_length_b 3.126
_cell_length_c 6.542
_cell_angle_alpha 90.00
_cell_angle_beta 90.00
_cell_angle_gamma 117.29
loop_
_symmetry_equiv_pos_as_xyz
'x,y,z'
loop_
_atom_site_label
_atom_site_type_symbol
_atom_site_fract_x
_atom_site_fract_y
_atom_site_fract_z
F1 F 0.087 0.087 0.901
F2 F 0.413 0.413 0.401
F3 F 0.587 0.587 0.599
F4 F 0.913 0.913 0.099